No. 1
Nd2ErS4 | PBE-GGA | optimized geometry

Unit cell a=7.2284 b=11.3735 c=4.1100 alpha=90.00 beta=90.00 gamma=90.00
Closest atoms and distances in Å follow each position.
Element x y z (fractional)
1 Nd 0.1003 0.1856 0.0000  7 S 2.86-3.17
2 Nd 0.3997 0.6856 0.0000  7 S 2.86-3.17
3 Nd 0.6003 0.3144 0.0000  7 S 2.86-3.17
4 Nd 0.8997 0.8144 0.0000  7 S 2.86-3.17
5 Er 0.0000 0.5000 0.5000  6 S 2.65-2.75
6 Er 0.5000 0.0000 0.5000  6 S 2.65-2.75
7 S 0.1290 0.7185 0.5000  1 Er 2.65, 4 Nd 2.86
8 S 0.2408 0.4496 0.0000  2 Er 2.75, 2 Nd 2.92-3.02
9 S 0.2592 0.9496 0.0000  2 Er 2.75, 2 Nd 2.92-3.02
10 S 0.3710 0.2185 0.5000  1 Er 2.65, 4 Nd 2.86
11 S 0.6290 0.7815 0.5000  1 Er 2.65, 4 Nd 2.86
12 S 0.7408 0.0504 0.0000  2 Er 2.75, 2 Nd 2.92-3.02
13 S 0.7592 0.5504 0.0000  2 Er 2.75, 2 Nd 2.92-3.02
14 S 0.8710 0.2815 0.5000  1 Er 2.65, 4 Nd 2.86

Final energy ... -89.9 eV for the cell shown
ΔE to the lowest computed polymorph ... 0.00 eV per formula unit
Raw formation energy ... -2050 meV/atom

=====

No. 2
Nd2ErS3 | PBE-GGA | optimized geometry

Unit cell a=3.9894 b=3.9894 c=9.8723 alpha=90.00 beta=90.00 gamma=120.00
Closest atoms and distances in Å follow each position.
Element x y z (fractional)
1 Nd 0.3333 0.6667 0.1700  6 S 2.85-2.90
2 Nd 0.6667 0.3333 0.8300  6 S 2.85-2.90
3 Er 0.0000 0.0000 0.5000  6 S 2.75
4 S 0.0000 0.0000 0.0000  6 Nd 2.85
5 S 0.3333 0.6667 0.6515  3 Er 2.75, 3 Nd 2.90
6 S 0.6667 0.3333 0.3485  3 Er 2.75, 3 Nd 2.90

Final energy ... -38.5 eV for the cell shown
ΔE to the lowest computed polymorph ... 0.00 eV per formula unit
Raw formation energy ... -2002 meV/atom

=====

No. 3
Nd3ErS4 | PBE-GGA | optimized geometry

Unit cell a=5.6915 b=5.6915 c=5.6915 alpha=90.00 beta=90.00 gamma=90.00
Closest atoms and distances in Å follow each position.
Element x y z (fractional)
1 Nd 0.0000 0.0000 0.5000  6 S 2.85
2 Nd 0.0000 0.5000 0.0000  6 S 2.85
3 Nd 0.5000 0.0000 0.0000  6 S 2.85
4 Er 0.5000 0.5000 0.5000  6 S 2.85
5 S 0.0000 0.0000 0.0000  6 Nd 2.85
6 S 0.0000 0.5000 0.5000  2 Er 2.85, 4 Nd 2.85
7 S 0.5000 0.0000 0.5000  2 Er 2.85, 4 Nd 2.85
8 S 0.5000 0.5000 0.0000  2 Er 2.85, 4 Nd 2.85

Final energy ... -51.2 eV for the cell shown
ΔE to the lowest computed polymorph ... 0.28 eV per formula unit
Raw formation energy ... -1972 meV/atom

=====

No. 4
Nd2ErS3 | PBE-GGA | optimized geometry

Unit cell a=8.3441 b=8.3441 c=8.3441 alpha=153.73 beta=145.25 gamma=44.08
Closest atoms and distances in Å follow each position.
Element x y z (fractional)
1 Nd 0.1464 0.1464 0.0000  3 S 2.82-2.95
2 Nd 0.8536 0.8536 0.0000  3 S 2.82-2.95
3 Er 0.5000 0.5000 0.0000  4 S 2.49-2.66
4 S 0.0000 0.5000 0.5000  2 Er 2.49
5 S 0.3284 0.3284 0.0000  1 Er 2.66, 1 Nd 2.82
6 S 0.6716 0.6716 0.0000  1 Er 2.66, 1 Nd 2.82

Final energy ... -36.7 eV for the cell shown
ΔE to the lowest computed polymorph ... 1.79 eV per formula unit
Raw formation energy ... -1704 meV/atom

=====

No. 5
Nd3Er2S8 | PBE-GGA | optimized geometry

Unit cell a=8.0388 b=8.0388 c=6.8602 alpha=107.95 beta=107.95 gamma=60.39
Closest atoms and distances in Å follow each position.
Element x y z (fractional)
1 Nd 0.0000 0.0000 0.0000  6 S 2.80-2.89
2 Nd 0.2643 0.7357 0.5000  6 S 2.80-2.85
3 Nd 0.7357 0.2643 0.5000  6 S 2.80-2.85
4 Er 0.2622 0.2622 0.8451  6 S 2.68-2.80
5 Er 0.7378 0.7378 0.1549  6 S 2.68-2.80
6 S 0.1035 0.6362 0.0809  2 Er 2.79-2.80, 2 Nd 2.80-2.81
7 S 0.1220 0.1220 0.4400  1 Er 2.77, 3 Nd 2.85-2.89
8 S 0.3638 0.8965 0.9191  2 Er 2.79-2.80, 2 Nd 2.80-2.81
9 S 0.3841 0.3841 0.6181  1 Er 2.68, 2 Nd 2.80
10 S 0.6159 0.6159 0.3819  1 Er 2.68, 2 Nd 2.80
11 S 0.6362 0.1035 0.0809  2 Er 2.79-2.80, 2 Nd 2.80-2.81
12 S 0.8780 0.8780 0.5600  1 Er 2.77, 3 Nd 2.85-2.89
13 S 0.8965 0.3638 0.9191  2 Er 2.79-2.80, 2 Nd 2.80-2.81

Final energy ... -79.9 eV for the cell shown
Raw formation energy ... -1800 meV/atom

=====

No. 6
Nd2ErS4 | PBE-GGA | optimized geometry

Unit cell a=6.9904 b=6.9904 c=13.4114 alpha=90.00 beta=90.00 gamma=148.02
Closest atoms and distances in Å follow each position.
Element x y z (fractional)
1 Nd 0.1293 0.8707 0.5723  6 S 2.77-2.93
2 Nd 0.1293 0.8707 0.9277  6 S 2.77-2.93
3 Nd 0.8707 0.1293 0.0723  6 S 2.77-2.93
4 Nd 0.8707 0.1293 0.4277  6 S 2.77-2.93
5 Er 0.3721 0.6279 0.7500  6 S 2.73-2.82
6 Er 0.6279 0.3721 0.2500  6 S 2.73-2.82
7 S 0.0163 0.9837 0.7500  2 Er 2.73, 2 Nd 2.83
8 S 0.2192 0.7808 0.1265  2 Er 2.82, 3 Nd 2.90-2.93
9 S 0.2192 0.7808 0.3735  2 Er 2.82, 3 Nd 2.90-2.93
10 S 0.5000 0.5000 0.0000  4 Nd 2.77
11 S 0.5000 0.5000 0.5000  4 Nd 2.77
12 S 0.7808 0.2192 0.6265  2 Er 2.82, 3 Nd 2.90-2.93
13 S 0.7808 0.2192 0.8735  2 Er 2.82, 3 Nd 2.90-2.93
14 S 0.9837 0.0163 0.2500  2 Er 2.73, 2 Nd 2.83

Final energy ... -89.1 eV for the cell shown
ΔE to the lowest computed polymorph ... 0.39 eV per formula unit
Raw formation energy ... -1994 meV/atom

=====

No. 7
NdEr2S4 | PBE-GGA | optimized geometry

Unit cell a=6.7171 b=6.7171 c=13.1535 alpha=90.00 beta=90.00 gamma=146.71
Closest atoms and distances in Å follow each position.
Element x y z (fractional)
1 Nd 0.1239 0.8761 0.7500  6 S 2.85-2.91
2 Nd 0.8761 0.1239 0.2500  6 S 2.85-2.91
3 Er 0.3699 0.6301 0.5680  6 S 2.66-2.75
4 Er 0.3699 0.6301 0.9320  6 S 2.66-2.75
5 Er 0.6301 0.3699 0.0680  6 S 2.66-2.75
6 Er 0.6301 0.3699 0.4320  6 S 2.66-2.75
7 S 0.0000 0.0000 0.0000  4 Er 2.70
8 S 0.0000 0.0000 0.5000  4 Er 2.70
9 S 0.2726 0.7274 0.1186  3 Er 2.74-2.75, 2 Nd 2.91
10 S 0.2726 0.7274 0.3814  3 Er 2.74-2.75, 2 Nd 2.91
11 S 0.4605 0.5395 0.7500  2 Er 2.66, 2 Nd 2.85
12 S 0.5395 0.4605 0.2500  2 Er 2.66, 2 Nd 2.85
13 S 0.7274 0.2726 0.6186  3 Er 2.74-2.75, 2 Nd 2.91
14 S 0.7274 0.2726 0.8814  3 Er 2.74-2.75, 2 Nd 2.91

Final energy ... -89.8 eV for the cell shown
ΔE to the lowest computed polymorph ... 0.00 eV per formula unit
Raw formation energy ... -2068 meV/atom

=====

No. 8
Nd3ErS4 | PBE-GGA | optimized geometry

Unit cell a=7.0152 b=7.9861 c=6.9532 alpha=90.00 beta=109.33 gamma=90.00
Closest atoms and distances in Å follow each position.
Element x y z (fractional)
1 Nd 0.0000 0.1225 0.2500  6 S 2.85-2.93
2 Nd 0.0000 0.3735 0.7500  6 S 2.83-2.93
3 Nd 0.0000 0.6265 0.2500  6 S 2.83-2.93
4 Nd 0.0000 0.8775 0.7500  6 S 2.85-2.93
5 Nd 0.5000 0.1237 0.7500  6 S 2.83-2.85
6 Nd 0.5000 0.8763 0.2500  6 S 2.83-2.85
7 Er 0.5000 0.3736 0.2500  6 S 2.75-2.77
8 Er 0.5000 0.6264 0.7500  6 S 2.75-2.77
9 S 0.2573 0.1326 0.0074  1 Er 2.75, 5 Nd 2.83-2.91
10 S 0.2573 0.8674 0.5074  1 Er 2.75, 5 Nd 2.83-2.91
11 S 0.2634 0.3818 0.4995  2 Er 2.77, 4 Nd 2.85-2.93
12 S 0.2634 0.6182 0.9995  2 Er 2.77, 4 Nd 2.85-2.93
13 S 0.7366 0.3818 0.0005  2 Er 2.77, 4 Nd 2.85-2.93
14 S 0.7366 0.6182 0.5005  2 Er 2.77, 4 Nd 2.85-2.93
15 S 0.7427 0.1326 0.4926  1 Er 2.75, 5 Nd 2.83-2.91
16 S 0.7427 0.8674 0.9926  1 Er 2.75, 5 Nd 2.83-2.91

Final energy ... -102.9 eV for the cell shown
ΔE to the lowest computed polymorph ... 0.00 eV per formula unit
Raw formation energy ... -2007 meV/atom

=====

No. 9
NdEr3S4 | PBE-GGA | optimized geometry

Unit cell a=5.5468 b=5.5468 c=5.5468 alpha=90.00 beta=90.00 gamma=90.00
Closest atoms and distances in Å follow each position.
Element x y z (fractional)
1 Nd 0.0000 0.0000 0.0000  6 S 2.77
2 Er 0.0000 0.5000 0.5000  6 S 2.77
3 Er 0.5000 0.0000 0.5000  6 S 2.77
4 Er 0.5000 0.5000 0.0000  6 S 2.77
5 S 0.0000 0.0000 0.5000  4 Er 2.77, 2 Nd 2.77
6 S 0.0000 0.5000 0.0000  4 Er 2.77, 2 Nd 2.77
7 S 0.5000 0.0000 0.0000  4 Er 2.77, 2 Nd 2.77
8 S 0.5000 0.5000 0.5000  6 Er 2.77

Final energy ... -50.4 eV for the cell shown
ΔE to the lowest computed polymorph ... 0.26 eV per formula unit
Raw formation energy ... -1932 meV/atom

=====

No. 10
NdErS | PBE-GGA | optimized geometry

Unit cell a=3.8278 b=3.8278 c=6.4614 alpha=90.00 beta=90.00 gamma=120.00
Closest atoms and distances in Å follow each position.
Element x y z (fractional)
1 Nd 0.0000 0.0000 0.0000  3 S 2.85
2 Er 0.6667 0.3333 0.5237  3 S 2.72
3 S 0.3333 0.6667 0.2792  3 Er 2.72, 3 Nd 2.85

Final energy ... -17.2 eV for the cell shown
ΔE to the lowest computed polymorph ... 0.00 eV per formula unit
Raw formation energy ... -1245 meV/atom

=====

No. 11
NdErSbS | PBE-GGA | optimized geometry

Unit cell a=7.7884 b=7.7884 c=7.7884 alpha=30.53 beta=30.53 gamma=30.53
Closest atoms and distances in Å follow each position.
Element x y z (fractional)
1 Nd 0.0000 0.0000 0.0000  3 S 3.06, 3 Sb 3.11
2 Er 0.1611 0.1611 0.1611  3 S 2.88, 3 Sb 2.98
3 Sb 0.5760 0.5760 0.5760  3 Er 2.98, 3 Nd 3.11
4 S 0.7540 0.7540 0.7540  3 Er 2.88, 3 Nd 3.06

Final energy ... -23.2 eV for the cell shown
Raw formation energy ... -1398 meV/atom

=====

No. 12
Nd2ErScS6 | PBE-GGA | optimized geometry

Unit cell a=6.6036 b=7.2485 c=11.7363 alpha=90.00 beta=123.49 gamma=90.00
Closest atoms and distances in Å follow each position.
Element x y z (fractional)
1 Nd 0.2100 0.0962 0.2482  6 S 2.84-3.02
2 Nd 0.2100 0.4038 0.7482  6 S 2.84-3.02
3 Nd 0.7900 0.5962 0.2518  6 S 2.84-3.02
4 Nd 0.7900 0.9038 0.7518  6 S 2.84-3.02
5 Er 0.5000 0.0000 0.0000  6 S 2.66-2.69
6 Er 0.5000 0.5000 0.5000  6 S 2.66-2.69
7 Sc 0.0000 0.0000 0.5000  6 S 2.55-2.60
8 Sc 0.0000 0.5000 0.0000  6 S 2.55-2.60
9 S 0.1038 0.1913 0.9311  1 Sc 2.60, 1 Er 2.66, 1 Nd 2.87
10 S 0.1038 0.3087 0.4311  1 Sc 2.60, 1 Er 2.66, 1 Nd 2.87
11 S 0.2469 0.6826 0.9316  1 Sc 2.55, 1 Er 2.69
12 S 0.2469 0.8174 0.4316  1 Sc 2.55, 1 Er 2.69
13 S 0.3821 0.0462 0.7435  1 Sc 2.59, 1 Er 2.68, 2 Nd 2.84
14 S 0.3821 0.4538 0.2435  1 Sc 2.59, 1 Er 2.68, 2 Nd 2.84
15 S 0.6179 0.5462 0.7565  1 Sc 2.59, 1 Er 2.68, 2 Nd 2.84
16 S 0.6179 0.9538 0.2565  1 Sc 2.59, 1 Er 2.68, 2 Nd 2.84
17 S 0.7531 0.1826 0.5684  1 Sc 2.55, 1 Er 2.69
18 S 0.7531 0.3174 0.0684  1 Sc 2.55, 1 Er 2.69
19 S 0.8962 0.6913 0.5689  1 Sc 2.60, 1 Er 2.66, 1 Nd 2.87
20 S 0.8962 0.8087 0.0689  1 Sc 2.60, 1 Er 2.66, 1 Nd 2.87

Final energy ... -131.0 eV for the cell shown
Raw formation energy ... -2031 meV/atom

=====

Q: raw formation energy of number 6 (Nd2ErS4)?
A: -1994 meV/atom